AcCuSbO5: relaxed, PBE-GGA.

Geometry as extended XYZ:
```
16
Lattice="3.2528 -4.8667 0.0000 3.2528 4.8667 0.0000 -2.2553 0.0000 7.0611" Properties=species:S:1:pos:R:3 pbc="T T T"
Ac 1.5613 3.3105 5.2958
Ac 2.6890 -3.3105 1.7653
Cu 2.6890 3.1226 1.7653
Cu 1.5613 -3.1226 5.2958
Sb 3.2528 0.0000 0.0000
Sb 2.1251 0.0000 3.5306
O -0.9414 0.4606 6.6696
O 1.7535 1.8880 2.9271
O 0.1863 -0.4606 3.1391
O 3.6244 1.8880 0.6035
O 1.5613 0.7367 5.2958
O 2.6890 -0.7367 1.7653
O 0.6258 -1.8880 6.4576
O 4.0640 0.4606 3.9220
O 2.4968 -1.8880 4.1340
O 5.1916 -0.4606 0.3915
```

Output
Calculated total energy in eV per atom: -6.484
Fermi-level density of states in states/eV/f.u.: 2.28
Space group: C2/c, No. 15
Uncorrected formation energy in kJ per mole of atoms: -178